## TlZnIn2Ge (GGA-PBE)

Data for a relaxed TlZnIn2Ge crystal.

Values from the calculation:
* V: 164 Å³ per cell
* energy of formation: 0.740 eV/atom
* Fermi-level density of states: 4.2 states/eV/f.u.
* total magnetization: 0.00 Bohr magnetons per cell
* VASP energy: -2.007 eV/atom

a = 5.7363 Å, b = 4.9883 Å, c = 5.7363 Å
α = 90.00°, β = 90.00°, γ = 90.00°
Fractional coordinates of all 5 atoms:
Tl: 0.0000 0.0000 0.0000
In: 0.0000 0.0000 0.5000
In: 0.5000 0.0000 0.0000
Zn: 0.0000 0.5000 0.0000
Ge: 0.5000 0.5000 0.5000



## Tm8In3Ge2 (GGA-PBE)

Data for a relaxed Tm8In3Ge2 crystal.

Values from the calculation:
* V: 350 Å³ per cell
* energy of formation: -0.319 eV/atom
* Fermi-level density of states: 10.3 states/eV/f.u.
* total magnetization: 0.00 Bohr magnetons per cell
* VASP energy: -4.413 eV/atom

a = 5.2607 Å, b = 8.6853 Å, c = 8.8144 Å
α = 119.52°, β = 90.01°, γ = 90.00°
Fractional coordinates of all 13 atoms:
Tm: 0.0000 0.1106 0.2212
Tm: 0.4999 0.1563 0.7460
Tm: 0.0000 0.8894 0.7788
Tm: 0.9998 0.3150 0.6300
Tm: 0.5001 0.4103 0.2540
Tm: 0.4999 0.5897 0.7460
Tm: 0.5001 0.8437 0.2540
Tm: 0.0002 0.6850 0.3700
Ge: 0.4998 0.2279 0.4559
Ge: 0.5002 0.7721 0.5441
In: 0.5000 0.0000 0.0000
In: 0.0000 0.6805 0.0000
In: 0.0000 0.3195 0.0000



## Tm5In2Ge2 (GGA-PBE)

Data for a relaxed Tm5In2Ge2 crystal.

Values from the calculation:
* V: 459 Å³ per cell
* energy of formation: -0.596 eV/atom
* Fermi-level density of states: 5.9 states/eV/f.u.
* total magnetization: 0.00 Bohr magnetons per cell
* VASP energy: -4.715 eV/atom

a = 7.7119 Å, b = 7.6742 Å, c = 8.6598 Å
α = 90.00°, β = 63.56°, γ = 90.00°
Fractional coordinates of all 18 atoms:
Tm: 0.0481 0.6705 0.2500
Tm: 0.5481 0.8295 0.2500
Tm: 0.0000 0.0000 0.0000
Tm: 0.7981 0.8295 0.7500
Tm: 0.9519 0.3295 0.7500
Tm: 0.7019 0.3295 0.2500
Tm: 0.2019 0.1705 0.2500
Tm: 0.4519 0.1705 0.7500
Tm: 0.2981 0.6705 0.7500
Tm: 0.5000 0.5000 0.0000
Ge: 0.1346 0.3635 0.0000
Ge: 0.6346 0.1365 0.0000
Ge: 0.3654 0.8635 0.0000
Ge: 0.8654 0.6365 0.0000
In: 0.7160 0.5000 0.5680
In: 0.2160 0.0000 0.5680
In: 0.2840 0.5000 0.4320
In: 0.7840 0.0000 0.4320



## TmInGe2 (GGA-PBE)

Data for a relaxed TmInGe2 crystal.

Values from the calculation:
* V: 135 Å³ per cell
* energy of formation: 0.220 eV/atom
* Fermi-level density of states: 3.1 states/eV/f.u.
* total magnetization: 0.00 Bohr magnetons per cell
* VASP energy: -3.891 eV/atom
* excess energy over the best structure of this formula in the dataset: 0.586 eV per atom

a = 4.6170 Å, b = 4.6170 Å, c = 7.7909 Å
α = 72.76°, β = 72.76°, γ = 60.00°
Fractional coordinates of all 4 atoms:
Ge: 0.1194 0.1194 0.6418
Ge: 0.8806 0.8806 0.3582
Tm: 0.5000 0.5000 0.5000
In: 0.0000 0.0000 0.0000



## Tm2InGe (GGA-PBE)

Data for a relaxed Tm2InGe crystal.

Values from the calculation:
* V: 95 Å³ per cell
* energy of formation: -0.486 eV/atom
* Fermi-level density of states: 2.2 states/eV/f.u.
* total magnetization: 0.00 Bohr magnetons per cell
* VASP energy: -4.561 eV/atom

a = 4.1150 Å, b = 4.8009 Å, c = 4.8009 Å
α = 90.00°, β = 90.00°, γ = 90.00°
Fractional coordinates of all 4 atoms:
In: 0.5000 0.5000 0.5000
Tm: 0.0000 0.5000 0.0000
Tm: 0.0000 0.0000 0.5000
Ge: 0.5000 0.0000 0.0000



## Tm5InGe2 (GGA-PBE)

Data for a relaxed Tm5InGe2 crystal.

Values from the calculation:
* V: 406 Å³ per cell
* energy of formation: -0.648 eV/atom
* Fermi-level density of states: 5.4 states/eV/f.u.
* total magnetization: 0.03 Bohr magnetons per cell
* VASP energy: -4.940 eV/atom

a = 7.7476 Å, b = 7.7476 Å, c = 8.7004 Å
α = 116.44°, β = 116.44°, γ = 90.00°
Fractional coordinates of all 16 atoms:
Tm: 0.5168 0.7002 0.7170
Tm: 0.2002 0.0168 0.7170
Tm: 0.7002 0.2002 0.7170
Tm: 0.5000 0.5000 0.0000
Tm: 0.2998 0.7998 0.2830
Tm: 0.0168 0.5168 0.7170
Tm: 0.7998 0.9832 0.2830
Tm: 0.0000 0.0000 0.0000
Tm: 0.9832 0.4832 0.2830
Tm: 0.4832 0.2998 0.2830
Ge: 0.6450 0.1450 0.0000
Ge: 0.1450 0.3550 0.0000
Ge: 0.3550 0.8550 0.0000
Ge: 0.8550 0.6450 0.0000
In: 0.2500 0.2500 0.5000
In: 0.7500 0.7500 0.5000